A relaxed structure of Pm3PrY6Tm2. Source: Alexandria, functional PBE.

Summary:
As for the crystal system: monoclinic. The value obtained for the formation energy is 0.018 eV/atom. Its space-group type is C2/m (12). For the total magnetization, the calculation gives 0.000 μB/atom. For the total energy, the calculation gives -66.54 eV/cell.

a b c (Å): 6.216 6.216 11.874
angles (deg): 94.99 94.99 119.97
Atoms (fractional coordinates):
1 Pm 0.000 0.000 0.000
2 Pm 0.333 0.667 0.000
3 Pm 0.667 0.333 0.000
4 Pr 0.500 0.500 0.500
5 Y 0.083 0.417 0.252
6 Y 0.249 0.249 0.748
7 Y 0.417 0.083 0.252
8 Y 0.583 0.917 0.748
9 Y 0.751 0.751 0.252
10 Y 0.917 0.583 0.748
11 Tm 0.167 0.833 0.500
12 Tm 0.833 0.167 0.500



A relaxed structure of GaCu. Source: Alexandria, functional PBE.

Summary:
As for the crystal system: cubic. The value obtained for the formation energy is 0.470 eV/atom. Its space-group type is F-43m (216). For the total magnetization, the calculation gives 0.000 μB/atom. For the total energy, the calculation gives -24.73 eV/cell.

a b c (Å): 5.552 5.552 5.552
angles (deg): 90.00 90.00 90.00
Atoms (fractional coordinates):
1 Ga 0.000 0.000 0.000
2 Ga 0.000 0.500 0.500
3 Ga 0.500 0.000 0.500
4 Ga 0.500 0.500 0.000
5 Cu 0.250 0.250 0.250
6 Cu 0.250 0.750 0.750
7 Cu 0.750 0.250 0.750
8 Cu 0.750 0.750 0.250



A relaxed structure of MnCoRe2Os. Source: Alexandria, functional PBE.

Summary:
As for the crystal system: tetragonal. The value obtained for the formation energy is 1.629 eV/atom. Its space-group type is P4/mmm (123). For the total magnetization, the calculation gives 0.295 μB/atom. For the total energy, the calculation gives -44.26 eV/cell.

a b c (Å): 4.351 4.351 4.126
angles (deg): 90.00 90.00 90.00
Atoms (fractional coordinates):
1 Mn 0.000 0.000 0.000
2 Co 0.000 0.000 0.500
3 Re 0.000 0.500 0.000
4 Re 0.500 0.000 0.000
5 Os 0.500 0.500 0.500



A relaxed structure of SrCaP2. Source: Alexandria, functional PBE.

Summary:
As for the crystal system: cubic. The value obtained for the formation energy is -0.690 eV/atom. Its space-group type is Fm-3m (225). For the total magnetization, the calculation gives 0.000 μB/atom. For the total energy, the calculation gives -69.06 eV/cell.

a b c (Å): 7.272 7.272 7.272
angles (deg): 90.00 90.00 90.00
Atoms (fractional coordinates):
1 Sr 0.000 0.000 0.000
2 Sr 0.000 0.500 0.500
3 Sr 0.500 0.000 0.500
4 Sr 0.500 0.500 0.000
5 Ca 0.000 0.000 0.500
6 Ca 0.000 0.500 0.000
7 Ca 0.500 0.000 0.000
8 Ca 0.500 0.500 0.500
9 P 0.250 0.250 0.250
10 P 0.250 0.250 0.750
11 P 0.250 0.750 0.250
12 P 0.250 0.750 0.750
13 P 0.750 0.250 0.250
14 P 0.750 0.250 0.750
15 P 0.750 0.750 0.250
16 P 0.750 0.750 0.750